Entry 1:
{
  "formula": "KZnIn2",
  "functional": "PBE",
  "state": "relaxed",
  "energy_ev_per_cell": -7.3,
  "sg": "No. 139",
  "cell": [[-2.410, 2.410, 4.896], [2.410, -2.410, 4.896], [2.410, 2.410, -4.896]],
  "species": ["K", "Zn", "In", "In"],
  "frac_coords": [[0.000, 0.000, 0.000], [0.500, 0.500, 0.000], [0.250, 0.750, 0.500], [0.750, 0.250, 0.500]]
}

Entry 2:
{
  "formula": "KZnIn2",
  "functional": "PBE",
  "state": "relaxed",
  "energy_ev_per_cell": -8.0,
  "sg": "No. 65",
  "cell": [[2.549, -2.554, 0.000], [2.549, 2.554, 0.000], [0.000, 0.000, 8.563]],
  "species": ["K", "Zn", "In", "In"],
  "frac_coords": [[0.000, 0.000, 0.000], [0.000, 0.000, 0.500], [0.500, 0.500, 0.313], [0.500, 0.500, 0.687]]
}

Entry 3:
{
  "formula": "KZn2In",
  "functional": "PBE",
  "state": "relaxed",
  "energy_ev_per_cell": -5.6,
  "sg": "No. 123",
  "cell": [[5.105, 0.000, 0.000], [0.000, 5.105, 0.000], [0.000, 0.000, 4.040]],
  "species": ["K", "Zn", "Zn", "In"],
  "frac_coords": [[0.000, 0.000, 0.000], [0.000, 0.500, 0.500], [0.500, 0.000, 0.500], [0.500, 0.500, 0.000]]
}